Entry from the Alexandria database: a geometry-optimized K5RbNa2Hg2 structure (PBE).

## Properties
Calculated formation energy ... -0.04 eV/atom
SG ... P4/mbm (127)

The structure in extended XYZ format:
```
20
Lattice="5.481 0.000 0.000 0.000 13.866 0.000 0.000 0.000 13.866" Properties=species:S:1:pos:R:3 pbc="T T T"
Hg 0.000 12.180 5.247
Hg 0.000 5.247 1.686
Hg 0.000 1.686 8.619
Hg 0.000 8.619 12.180
K 2.740 12.689 2.984
K 2.740 3.949 8.110
K 2.740 6.933 0.000
K 2.740 10.882 12.689
K 2.740 8.110 9.917
K 2.740 1.177 10.882
K 2.740 9.917 5.756
K 2.740 0.000 6.933
K 2.740 5.756 3.949
K 2.740 2.984 1.177
Rb 0.000 6.933 6.933
Rb 0.000 0.000 0.000
Na 0.000 2.220 4.713
Na 0.000 11.646 9.153
Na 0.000 4.713 11.646
Na 0.000 9.153 2.220
```